# 1
# BiIrS2

A relaxed structure of BiIrS2 (PBE, Alexandria via LeMat-Bulk).

Cell lengths 5.6912, 8.8072, 3.5583 Å; angles 90.00, 90.19, 90.00 degrees
Space group Cm (No. 8)
Symmetry-distinct sites (fractional):
1 Bi 0.0000 0.0000 0.0000 (multiplicity 2)
2 Ir 0.4016 0.0000 0.5020 (multiplicity 2)
3 S 0.4793 0.1659 0.0024 (multiplicity 4)

Calculated volume (Å³/f.u.): 89
Total magnetic moment (μB/cell): 0.0
VASP energy (eV/atom): -5.37
Formation energy without anion corrections (meV per atom): -123

# 2
# Si2TcHg

A relaxed structure of Si2TcHg (PBE, Alexandria via LeMat-Bulk).

Cell lengths 8.2121, 3.1769, 5.1861 Å; angles 90.00, 97.38, 90.00 degrees
Space group C2/m (No. 12)
Symmetry-distinct sites (fractional):
1 Si 0.2270 0.0000 0.1754 (multiplicity 4)
2 Tc 0.0000 0.5000 0.0000 (multiplicity 2)
3 Hg 0.0000 0.0000 0.5000 (multiplicity 2)

Calculated volume (Å³/f.u.): 67
Total magnetic moment (μB/cell): 0.0
VASP energy (eV/atom): -5.19
Formation energy without anion corrections (meV per atom): 186

# 3
# Ac2GaPt6

A relaxed structure of Ac2GaPt6 (PBE, Alexandria via LeMat-Bulk).

Cell lengths 10.1074, 5.8548, 6.3722 Å; angles 90.00, 103.88, 90.00 degrees
Space group C2/m (No. 12)
Symmetry-distinct sites (fractional):
1 Ac 0.1409 0.0000 0.3388 (multiplicity 4)
2 Ga 0.0000 0.5000 0.5000 (multiplicity 2)
3 Pt 0.1174 0.5000 0.1857 (multiplicity 4)
4 Pt 0.1365 0.2419 0.8142 (multiplicity 8)

Calculated volume (Å³/f.u.): 183
Total magnetic moment (μB/cell): 0.0
VASP energy (eV/atom): -6.19
ΔH_f (0 K) (meV/atom): -913

# 4
# EuMgGaCu

A relaxed structure of EuMgGaCu (PBE, Alexandria via LeMat-Bulk).

Cell lengths 6.9376, 6.9376, 6.9376 Å; angles 90.00, 90.00, 90.00 degrees
Space group F-43m (No. 216)
Symmetry-distinct sites (fractional):
1 Eu 0.0000 0.0000 0.0000 (multiplicity 4)
2 Mg 0.0000 0.0000 0.5000 (multiplicity 4)
3 Ga 0.2500 0.2500 0.2500 (multiplicity 4)
4 Cu 0.2500 0.2500 0.7500 (multiplicity 4)

Calculated volume (Å³/f.u.): 83
Total magnetic moment (μB/cell): 27.8
VASP energy (eV/atom): -4.97
ΔH_f (0 K) (meV/atom): -223

# 5
# MgRe2Hg

A relaxed structure of MgRe2Hg (PBE, Alexandria via LeMat-Bulk).

Cell lengths 2.8860, 2.8860, 29.1326 Å; angles 90.00, 90.00, 120.00 degrees
Space group R3m (No. 160, hexagonal axes)
Symmetry-distinct sites (fractional):
1 Mg 0.0000 0.0000 0.0000 (multiplicity 3)
2 Re 0.0000 0.0000 0.2531 (multiplicity 3)
3 Re 0.0000 0.0000 0.5168 (multiplicity 3)
4 Hg 0.0000 0.0000 0.7611 (multiplicity 3)

Relative energy among the computed polymorphs (meV/atom): 78.4
Calculated volume (Å³/f.u.): 70
Total magnetic moment (μB/cell): 0.0
VASP energy (eV/atom): -6.43
ΔH_f (0 K) (meV/atom): 265

# 6
# Li3Pr2GaGe4

A relaxed structure of Li3Pr2GaGe4 (PBE, Alexandria via LeMat-Bulk).

Cell lengths 4.2290, 4.2290, 10.7056 Å; angles 90.00, 90.00, 90.00 degrees
Space group P-4m2 (No. 115)
Symmetry-distinct sites (fractional):
1 Li 0.0000 0.0000 0.0000 (multiplicity 1)
2 Li 0.0000 0.5000 0.6262 (multiplicity 2)
3 Pr 0.0000 0.5000 0.2603 (multiplicity 2)
4 Ga 0.5000 0.5000 0.0000 (multiplicity 1)
5 Ge 0.0000 0.0000 0.5000 (multiplicity 1)
6 Ge 0.0000 0.5000 0.8541 (multiplicity 2)
7 Ge 0.5000 0.5000 0.5000 (multiplicity 1)

Calculated volume (Å³/f.u.): 191
Total magnetic moment (μB/cell): 0.0
VASP energy (eV/atom): -4.26
ΔH_f (0 K) (meV/atom): -578

# 7
# LiScTePt2

A relaxed structure of LiScTePt2 (PBE, Alexandria via LeMat-Bulk).

Cell lengths 4.9164, 4.9164, 5.4846 Å; angles 90.00, 90.00, 90.00 degrees
Space group P4/mmm (No. 123)
Symmetry-distinct sites (fractional):
1 Li 0.0000 0.0000 0.0000 (multiplicity 1)
2 Sc 0.5000 0.5000 0.5000 (multiplicity 1)
3 Te 0.5000 0.5000 0.0000 (multiplicity 1)
4 Pt 0.0000 0.5000 0.5000 (multiplicity 2)

Calculated volume (Å³/f.u.): 133
Total magnetic moment (μB/cell): 0.0
VASP energy (eV/atom): -4.60
Formation energy without anion corrections (meV per atom): 95

# 8
# Tm3U2Se8

A relaxed structure of Tm3U2Se8 (PBE, Alexandria via LeMat-Bulk).

Cell lengths 14.5844, 8.0761, 6.8793 Å; angles 90.00, 109.03, 90.00 degrees
Space group C2/m (No. 12)
Symmetry-distinct sites (fractional):
1 Tm 0.0000 0.0000 0.0000 (multiplicity 2)
2 Tm 0.0000 0.2595 0.5000 (multiplicity 4)
3 U 0.2423 0.5000 0.1698 (multiplicity 4)
4 Se 0.1120 0.5000 0.3962 (multiplicity 4)
5 Se 0.1160 0.0000 0.4183 (multiplicity 4)
6 Se 0.1227 0.2369 0.9129 (multiplicity 8)

Calculated volume (Å³/f.u.): 383
Total magnetic moment (μB/cell): 10.0
VASP energy (eV/atom): -6.39
Formation energy without anion corrections (meV per atom): -1475